Here is an optimized crystal structure of TcICl4 from Alexandria. Energies are from PBE.

abc: 6.433 6.541 6.695
angles: 68.82 70.13 68.04
Positions (direct):
Tc (0.000, 0.000, 0.000)
I (0.766, 0.762, 0.363)
Cl (0.046, 0.759, 0.815)
Cl (0.206, 0.209, 0.687)
Cl (0.267, 0.931, 0.177)
Cl (0.694, 0.307, 0.997)

Computed properties:
Symmetry: P1



Here is an optimized crystal structure of TcI3Cl from Alexandria. Energies are from PBE.

abc: 9.662 9.662 8.387
angles: 99.33 99.33 23.71
Positions (direct):
Tc (0.184, 0.184, 0.448)
Tc (0.816, 0.816, 0.552)
I (0.057, 0.057, 0.226)
I (0.270, 0.270, 0.735)
I (0.389, 0.389, 0.435)
I (0.611, 0.611, 0.565)
I (0.730, 0.730, 0.265)
I (0.943, 0.943, 0.774)
Cl (0.349, 0.349, 0.089)
Cl (0.651, 0.651, 0.911)

Computed properties:
Symmetry: C2/m



Here is an optimized crystal structure of TcICl3 from Alexandria. Energies are from PBE.

abc: 6.766 7.799 5.867
angles: 90.00 90.00 90.00
Positions (direct):
Tc (0.000, 0.004, 0.000)
Tc (0.500, 0.996, 0.500)
I (0.000, 0.304, 0.205)
I (0.500, 0.696, 0.705)
Cl (0.000, 0.747, 0.804)
Cl (0.247, 0.877, 0.247)
Cl (0.253, 0.123, 0.747)
Cl (0.500, 0.253, 0.304)
Cl (0.747, 0.123, 0.747)
Cl (0.753, 0.877, 0.247)

Computed properties:
Symmetry: Pmn2_1



Here is an optimized crystal structure of Tc2ICl from Alexandria. Energies are from PBE.

abc: 4.566 4.566 4.566
angles: 60.00 60.00 60.00
Positions (direct):
Tc (0.250, 0.250, 0.250)
Tc (0.750, 0.750, 0.750)
I (0.000, 0.000, 0.000)
Cl (0.500, 0.500, 0.500)

Computed properties:
Symmetry: Fm-3m



| no. | formation energy without anion corrections (meV per atom) | VASP energy (eV per cell) |
| --- | --- | --- |
| 1 | -433 | -21.90 |
| 2 | 42 | -33.31 |
| 3 | -427 | -39.18 |
| 4 | 1022 | -20.04 |